{"formula": "Ca2FeSO", "functional": "GGA+U", "state": "relaxed", "energy_ev_per_atom": -4.43, "dos_at_fermi_per_ev_fu": 1.22, "magmom_total_mub_per_cell": 3.1, "cell": [[4.611, 0.000, 0.000], [0.000, 4.611, 0.000], [0.000, 0.000, 4.798]], "species": ["Ca", "Ca", "Fe", "S", "O"], "fractional_positions": [[0.000, 0.500, 0.000], [0.500, 0.000, 0.000], [0.000, 0.000, 0.500], [0.500, 0.500, 0.500], [0.500, 0.500, 0.000]]}

***

{"formula": "CaFeSO", "functional": "GGA+U", "state": "relaxed", "energy_ev_per_atom": -5.75, "dos_at_fermi_per_ev_fu": 4.13, "magmom_total_mub_per_cell": 8.0, "cell": [[3.758, 0.000, 0.000], [-1.879, 3.254, 0.000], [0.000, 0.000, 11.627]], "species": ["Ca", "Ca", "Fe", "Fe", "S", "S", "O", "O"], "fractional_positions": [[0.333, 0.667, 0.000], [0.667, 0.333, 0.500], [0.000, 0.000, 0.267], [0.000, 0.000, 0.767], [0.333, 0.667, 0.682], [0.667, 0.333, 0.182], [0.000, 0.000, 0.434], [0.000, 0.000, 0.934]]}

***

{"formula": "CaFeSbO5", "functional": "GGA+U", "state": "relaxed", "energy_ev_per_atom": -6.48, "dos_at_fermi_per_ev_fu": 0.00, "magmom_total_mub_per_cell": 10.0, "cell": [[3.441, -4.654, 0.000], [3.441, 4.654, 0.000], [-3.105, 0.000, 6.792]], "species": ["Ca", "Ca", "Fe", "Fe", "Sb", "Sb", "O", "O", "O", "O", "O", "O", "O", "O", "O", "O"], "fractional_positions": [[0.170, 0.830, 0.750], [0.830, 0.170, 0.250], [0.184, 0.816, 0.250], [0.816, 0.184, 0.750], [0.500, 0.500, 0.000], [0.500, 0.500, 0.500], [0.145, 0.242, 0.918], [0.196, 0.596, 0.399], [0.242, 0.145, 0.418], [0.404, 0.804, 0.101], [0.422, 0.578, 0.750], [0.578, 0.422, 0.250], [0.596, 0.196, 0.899], [0.758, 0.855, 0.582], [0.804, 0.404, 0.601], [0.855, 0.758, 0.082]]}